# 1
Compound: KCdTc
Source: Alexandria
Functional: GGA-PBE
Structure: relaxed

abc: 7.445 7.445 7.445
angles: 90.00 90.00 90.00
Fractional coordinates of all 12 atoms:
K 0.000 0.000 0.000
K 0.000 0.500 0.500
K 0.500 0.000 0.500
K 0.500 0.500 0.000
Cd 0.250 0.250 0.750
Cd 0.250 0.750 0.250
Cd 0.750 0.250 0.250
Cd 0.750 0.750 0.750
Tc 0.250 0.250 0.250
Tc 0.250 0.750 0.750
Tc 0.750 0.250 0.750
Tc 0.750 0.750 0.250

Output
Formation energy (meV per atom): 1795
Crystal system: cubic
Energy above the most stable polymorph in this dataset (meV/atom): 960.8

# 2
Compound: K2CdTc
Source: Alexandria
Functional: GGA-PBE
Structure: relaxed

abc: 3.770 3.770 10.146
angles: 90.00 90.00 90.00
Fractional coordinates of all 4 atoms:
K 0.000 0.000 0.000
K 0.500 0.500 0.409
Cd 0.500 0.500 0.744
Tc 0.000 0.000 0.666

Output
Formation energy (meV per atom): 762
Crystal system: tetragonal